{
  "formula": "Zr3AlGa2FeIr2",
  "functional": "GGA-PBE",
  "state": "relaxed",
  "sg": "Amm2 (38)",
  "dft_energy_ha_per_atom": -0.2768,
  "cell": [[3.344, 0.000, 0.000], [0.000, 6.295, 3.621], [0.000, -6.295, 3.621]],
  "species": ["Zr", "Zr", "Zr", "Al", "Ga", "Ga", "Fe", "Ir", "Ir"],
  "fractional_positions": [[0.000, 0.000, 0.000], [0.000, 0.382, 0.775], [0.000, 0.775, 0.382], [0.500, 0.645, 0.645], [0.500, 0.125, 0.387], [0.500, 0.387, 0.125], [0.000, 0.385, 0.385], [0.500, 0.046, 0.717], [0.500, 0.717, 0.046]]
}


{
  "formula": "La2AlGaFe4",
  "functional": "GGA-PBE",
  "state": "relaxed",
  "sg": "P-3m1 (164)",
  "dft_energy_ha_per_atom": -0.2347,
  "cell": [[4.258, 0.000, 0.000], [-2.129, 3.688, 0.000], [0.000, 0.000, 9.774]],
  "species": ["La", "La", "Al", "Ga", "Fe", "Fe", "Fe", "Fe"],
  "fractional_positions": [[0.333, 0.667, 0.250], [0.667, 0.333, 0.750], [0.000, 0.000, 0.500], [0.000, 0.000, 0.000], [0.333, 0.667, 0.527], [0.333, 0.667, 0.974], [0.667, 0.333, 0.026], [0.667, 0.333, 0.473]]
}


{
  "formula": "AlGaFe2Pd4",
  "functional": "GGA-PBE",
  "state": "relaxed",
  "sg": "P4/mmm (123)",
  "dft_energy_ha_per_atom": -0.2173,
  "cell": [[4.341, 0.000, 0.000], [0.000, 4.341, 0.000], [0.000, 0.000, 6.139]],
  "species": ["Al", "Ga", "Fe", "Fe", "Pd", "Pd", "Pd", "Pd"],
  "fractional_positions": [[0.000, 0.000, 0.000], [0.500, 0.500, 0.500], [0.000, 0.000, 0.500], [0.500, 0.500, 0.000], [0.000, 0.500, 0.249], [0.000, 0.500, 0.751], [0.500, 0.000, 0.249], [0.500, 0.000, 0.751]]
}